# InNiSeO5

Crystalline InNiSeO5 at its relaxed geometry (PBE with a Hubbard U, Alexandria via LeMat-Bulk).

Calculated values
Density, g cm⁻³: 4.9
Total energy, eV/atom: -5.0418
Spin magnetization, μB per atom: 0.24

Geometry as CIF:
```
data_InNiSeO5
_chemical_formula_sum 'In4 Ni4 Se4 O20'
_symmetry_space_group_name_H-M 'C 1 2/c 1'
_symmetry_Int_Tables_number 15
_cell_length_a 6.7688
_cell_length_b 10.4421
_cell_length_c 6.8843
_cell_angle_alpha 90.00
_cell_angle_beta 113.32
_cell_angle_gamma 90.00
loop_
_symmetry_equiv_pos_as_xyz
'x,y,z'
'-x,-y,-z'
'-x,y,-z+1/2'
'x,-y,z+1/2'
'x+1/2,y+1/2,z'
'-x+1/2,-y+1/2,-z'
'-x+1/2,y+1/2,-z+1/2'
'x+1/2,-y+1/2,z+1/2'
loop_
_atom_site_label
_atom_site_fract_x
_atom_site_fract_y
_atom_site_fract_z
In1 0.2500 0.2500 0.0000
Ni1 0.0000 0.0016 0.2500
Se1 0.0000 0.4670 0.2500
O1 0.0000 0.1830 0.7500
O2 0.0018 0.3635 0.4415
O3 0.2013 0.0313 0.1047
```